DFT (PBE) results for a relaxed structure of ThGe2Ir.

Cell lengths 4.435, 8.917, 9.589 Å; angles 117.71, 103.37, 90.00 degrees
Atoms (fractional coordinates):
Ir: 0.147 0.396 0.294
Th: 0.293 0.293 0.586
Th: 0.500 0.257 0.000
Ge: 0.924 0.924 0.848
Ge: 0.924 0.424 0.849
Ge: 0.076 0.076 0.152
Th: 0.707 0.707 0.414
Ge: 0.303 0.957 0.606
Ge: 0.076 0.576 0.151
Ir: 0.147 0.897 0.294
Ir: 0.853 0.604 0.706
Ge: 0.697 0.043 0.394
Ir: 0.853 0.103 0.706
Ge: 0.303 0.649 0.606
Th: 0.500 0.743 0.000
Ge: 0.697 0.351 0.394

Output
**Size of the total moment**: 0.00 μB per formula unit
**Energy**: -115.19 eV per cell
**Space-group type**: Immm (71)